Run A
! PBE Y3Si, relaxed; values from VASP
&SYSTEM
  ibrav = 0, nat = 8, ntyp = 2
/
ATOMIC_SPECIES
Y 88.91 Y.upf
Si 28.09 Si.upf
CELL_PARAMETERS angstrom
4.947 0.000 0.000
0.000 6.421 0.000
0.000 0.000 6.516
ATOMIC_POSITIONS angstrom
Y 1.237 0.081 1.001
Y 1.237 1.605 3.971
Y 1.237 3.129 1.001
Y 3.710 3.292 5.515
Y 3.710 4.816 2.546
Y 3.710 6.340 5.515
Si 1.237 4.816 4.378
Si 3.710 1.605 2.138
! space-group type: Pmmn (59)
! total magnetization: 0.0 μB per formula unit


Run B
! PBE Y3Si, relaxed; values from VASP
&SYSTEM
  ibrav = 0, nat = 8, ntyp = 2
/
ATOMIC_SPECIES
Y 88.91 Y.upf
Si 28.09 Si.upf
CELL_PARAMETERS angstrom
5.918 0.000 0.000
0.000 5.918 0.000
0.000 0.000 5.918
ATOMIC_POSITIONS angstrom
Y 0.000 1.480 2.959
Y 0.000 4.439 2.959
Y 1.480 2.959 0.000
Y 2.959 0.000 1.480
Y 2.959 0.000 4.439
Y 4.439 2.959 0.000
Si 0.000 0.000 0.000
Si 2.959 2.959 2.959
! space-group type: Pm-3n (223)
! total magnetization: 0.0 μB per formula unit


The least stable of them is run B.


Run A
! PBE Y3Si, relaxed; values from VASP
&SYSTEM
  ibrav = 0, nat = 4, ntyp = 2
/
ATOMIC_SPECIES
Y 88.91 Y.upf
Si 28.09 Si.upf
CELL_PARAMETERS angstrom
4.654 0.000 0.000
0.000 4.654 0.000
0.000 0.000 4.654
ATOMIC_POSITIONS angstrom
Y 0.000 0.000 2.327
Y 0.000 2.327 0.000
Y 2.327 0.000 0.000
Si 2.327 2.327 2.327
! space-group type: Pm-3m (221)
! total magnetization: 0.0 μB per formula unit


Run B
! PBE Y3Si, relaxed; values from VASP
&SYSTEM
  ibrav = 0, nat = 8, ntyp = 2
/
ATOMIC_SPECIES
Y 88.91 Y.upf
Si 28.09 Si.upf
CELL_PARAMETERS angstrom
4.824 -4.047 0.000
4.824 4.047 0.000
0.000 0.000 5.502
ATOMIC_POSITIONS angstrom
Y 1.968 0.968 4.126
Y 4.824 2.242 4.126
Y 1.968 -0.968 1.375
Y 7.680 0.968 4.126
Y 4.824 -2.242 1.375
Y 7.680 -0.968 1.375
Si 4.824 0.690 1.375
Si 4.824 -0.690 4.126
! space-group type: Cmcm (63)
! total magnetization: 0.0 μB per formula unit


The least stable of them is run B.


Run A
! PBE Y3Si, relaxed; values from VASP
&SYSTEM
  ibrav = 0, nat = 4, ntyp = 2
/
ATOMIC_SPECIES
Y 88.91 Y.upf
Si 28.09 Si.upf
CELL_PARAMETERS angstrom
3.447 0.000 0.000
0.000 3.767 0.000
0.000 0.000 8.462
ATOMIC_POSITIONS angstrom
Y 0.000 0.000 0.000
Y 1.724 1.884 2.596
Y 1.724 1.884 5.866
Si 0.000 0.000 4.231
! space-group type: Pmmm (47)
! total magnetization: 0.0 μB per formula unit


Run B
! PBE Y3Si, relaxed; values from VASP
&SYSTEM
  ibrav = 0, nat = 8, ntyp = 2
/
ATOMIC_SPECIES
Y 88.91 Y.upf
Si 28.09 Si.upf
CELL_PARAMETERS angstrom
6.729 0.000 0.000
-3.364 5.827 0.000
0.000 0.000 5.132
ATOMIC_POSITIONS angstrom
Y 0.000 2.065 1.283
Y -1.576 4.795 1.283
Y 1.788 1.032 3.849
Y 1.576 4.795 1.283
Y 4.941 1.032 3.849
Y 3.364 3.762 3.849
Si 0.000 3.885 3.849
Si 3.364 1.942 1.283
! space-group type: P6_3/mmc (194)
! total magnetization: 0.0 μB per formula unit


Run C
! PBE Y3Si, relaxed; values from VASP
&SYSTEM
  ibrav = 0, nat = 4, ntyp = 2
/
ATOMIC_SPECIES
Y 88.91 Y.upf
Si 28.09 Si.upf
CELL_PARAMETERS angstrom
3.607 0.000 0.000
-1.803 3.124 0.000
0.000 0.000 10.153
ATOMIC_POSITIONS angstrom
Y 0.000 0.000 0.000
Y 1.803 1.041 2.962
Y 1.803 1.041 7.191
Si 0.000 0.000 5.076
! space-group type: P-6m2 (187)
! total magnetization: 0.7 μB per formula unit


The least stable of them is run C.


Run A
! PBE Y3Si, relaxed; values from VASP
&SYSTEM
  ibrav = 0, nat = 4, ntyp = 2
/
ATOMIC_SPECIES
Y 88.91 Y.upf
Si 28.09 Si.upf
CELL_PARAMETERS angstrom
5.222 3.015 1.122
-5.222 3.015 1.122
0.000 -6.030 1.122
ATOMIC_POSITIONS angstrom
Y -2.611 -1.507 1.122
Y -2.611 1.507 2.244
Y 0.000 3.015 1.122
Si 0.000 0.000 0.000
! space-group type: R-3m (166)
! total magnetization: 0.0 μB per formula unit


Run B
! PBE Y3Si, relaxed; values from VASP
&SYSTEM
  ibrav = 0, nat = 4, ntyp = 2
/
ATOMIC_SPECIES
Y 88.91 Y.upf
Si 28.09 Si.upf
CELL_PARAMETERS angstrom
-2.251 2.251 5.100
2.251 -2.251 5.100
2.251 2.251 -5.100
ATOMIC_POSITIONS angstrom
Y 0.000 0.000 0.000
Y 2.251 0.000 2.550
Y 0.000 2.251 2.550
Si 0.000 0.000 5.100
! space-group type: I4/mmm (139)
! total magnetization: 0.0 μB per formula unit


The least stable of them is run A.


Run A
! PBE Y3Si, relaxed; values from VASP
&SYSTEM
  ibrav = 0, nat = 4, ntyp = 2
/
ATOMIC_SPECIES
Y 88.91 Y.upf
Si 28.09 Si.upf
CELL_PARAMETERS angstrom
3.512 0.000 0.000
0.000 5.037 0.000
0.000 0.000 5.962
ATOMIC_POSITIONS angstrom
Y 0.000 0.000 0.000
Y 0.000 2.518 2.255
Y 1.756 2.518 4.944
Si 1.756 0.000 3.169
! space-group type: Pmm2 (25)
! total magnetization: 0.0 μB per formula unit


Run B
! PBE Y3Si, relaxed; values from VASP
&SYSTEM
  ibrav = 0, nat = 4, ntyp = 2
/
ATOMIC_SPECIES
Y 88.91 Y.upf
Si 28.09 Si.upf
CELL_PARAMETERS angstrom
1.835 1.059 9.946
-1.835 1.059 9.946
0.000 -2.119 9.946
ATOMIC_POSITIONS angstrom
Y 0.000 0.000 0.000
Y 0.000 0.000 6.905
Y 0.000 0.000 22.934
Si 0.000 0.000 14.920
! space-group type: R-3m (166)
! total magnetization: 0.0 μB per formula unit


Run C
! PBE Y3Si, relaxed; values from VASP
&SYSTEM
  ibrav = 0, nat = 16, ntyp = 2
/
ATOMIC_SPECIES
Y 88.91 Y.upf
Si 28.09 Si.upf
CELL_PARAMETERS angstrom
7.693 0.000 0.000
0.000 9.184 0.000
0.000 0.000 6.300
ATOMIC_POSITIONS angstrom
Y 0.248 2.296 0.814
Y 1.363 0.523 4.105
Y 1.363 4.069 4.105
Y 2.483 5.115 0.954
Y 2.483 8.661 0.954
Y 3.598 6.888 3.965
Y 4.095 2.296 2.336
Y 5.210 0.523 5.346
Y 5.210 4.069 5.346
Y 6.329 5.115 2.196
Y 6.329 8.661 2.196
Y 7.444 6.888 5.486
Si 0.939 6.888 2.752
Si 2.908 2.296 5.902
Si 4.785 6.888 0.398
Si 6.754 2.296 3.548
! space-group type: Pnma (62)
! total magnetization: 0.9 μB per formula unit


The least stable of them is run A.


Run A
! PBE YSi4, relaxed; values from VASP
&SYSTEM
  ibrav = 0, nat = 5, ntyp = 2
/
ATOMIC_SPECIES
Y 88.91 Y.upf
Si 28.09 Si.upf
CELL_PARAMETERS angstrom
-3.499 3.499 1.750
3.499 -3.499 1.750
3.499 3.499 -1.750
ATOMIC_POSITIONS angstrom
Y 0.000 0.000 0.000
Si 2.671 1.168 0.000
Si 2.331 -0.828 1.750
Si 1.168 4.327 0.000
Si 0.828 2.331 1.750
! space-group type: I4/m (87)
! total magnetization: 0.0 μB per formula unit


Run B
! PBE YSi4, relaxed; values from VASP
&SYSTEM
  ibrav = 0, nat = 5, ntyp = 2
/
ATOMIC_SPECIES
Y 88.91 Y.upf
Si 28.09 Si.upf
CELL_PARAMETERS angstrom
5.253 0.000 0.000
0.000 5.253 0.000
0.000 0.000 5.253
ATOMIC_POSITIONS angstrom
Y 0.000 0.000 0.000
Si 0.000 0.000 2.627
Si 0.000 2.627 0.000
Si 2.627 0.000 0.000
Si 2.627 2.627 2.627
! space-group type: Pm-3m (221)
! total magnetization: 0.0 μB per formula unit


Run C
! PBE YSi4, relaxed; values from VASP
&SYSTEM
  ibrav = 0, nat = 5, ntyp = 2
/
ATOMIC_SPECIES
Y 88.91 Y.upf
Si 28.09 Si.upf
CELL_PARAMETERS angstrom
-3.096 3.096 3.096
3.096 -3.096 3.096
3.096 3.096 -3.096
ATOMIC_POSITIONS angstrom
Y 0.000 0.000 0.000
Si 1.548 1.548 -1.548
Si 1.548 -1.548 1.548
Si -1.548 1.548 1.548
Si 1.548 1.548 1.548
! space-group type: Im-3m (229)
! total magnetization: 0.0 μB per formula unit


The least stable of them is run B.